[1]
DFT (PBE) results for a relaxed ErTmIn4Ni2 crystal.

a = 7.404 Å, b = 5.608 Å, c = 5.608 Å
α = 44.88°, β = 90.00°, γ = 90.00°
Sites, in units of the cell vectors:
Er (0.000, 0.433, 0.433)
In (0.201, 0.143, 0.143)
In (0.799, 0.143, 0.143)
In (0.300, 0.857, 0.857)
In (0.700, 0.857, 0.857)
Ni (0.500, 0.285, 0.285)
Ni (0.000, 0.716, 0.716)
Tm (0.500, 0.567, 0.567)

Spin magnetization, μB per cell: 0.010
E, eV per atom: -4.319
SG: No. 38


[2]
DFT (PBE) results for a relaxed HoTmGeI2 crystal.

a = 4.204 Å, b = 4.204 Å, c = 11.677 Å
α = 91.55°, β = 98.12°, γ = 120.00°
Sites, in units of the cell vectors:
Ge (0.000, 0.000, 0.001)
Ho (0.257, 0.618, 0.867)
I (0.509, 0.778, 0.307)
I (0.490, 0.222, 0.692)
Tm (0.743, 0.382, 0.133)

Spin magnetization, μB per cell: 0.022
E, eV per atom: -4.546
SG: No. 1


[3]
DFT (PBE) results for a relaxed Mg2Co12P7 crystal.

a = 8.945 Å, b = 8.944 Å, c = 3.453 Å
α = 90.00°, β = 90.00°, γ = 119.99°
Sites, in units of the cell vectors:
Co (0.443, 0.067, 0.000)
Co (0.153, 0.274, 0.000)
Co (0.934, 0.377, 0.000)
Co (0.624, 0.557, 0.000)
Co (0.122, 0.847, 0.000)
Co (0.726, 0.878, 0.000)
Co (0.239, 0.105, 0.500)
Co (0.895, 0.134, 0.500)
Co (0.382, 0.442, 0.500)
Co (0.060, 0.618, 0.500)
Co (0.866, 0.761, 0.500)
Co (0.558, 0.940, 0.500)
Mg (0.333, 0.667, 0.000)
Mg (0.667, 0.333, 0.500)
P (0.000, 0.000, 0.000)
P (0.710, 0.116, 0.000)
P (0.406, 0.290, 0.000)
P (0.884, 0.594, 0.000)
P (0.113, 0.406, 0.500)
P (0.594, 0.707, 0.500)
P (0.293, 0.887, 0.500)

Spin magnetization, μB per cell: 0.647
E, eV per atom: -6.637
SG: No. 174